Here is an optimized crystal structure of AcCeN2 from the Alexandria database. Energies are from PBE.

CIF file:
```
data_AcCeN2
_cell_length_a 3.6808
_cell_length_b 3.6808
_cell_length_c 12.3395
_cell_angle_alpha 90.00
_cell_angle_beta 90.00
_cell_angle_gamma 120.00
_space_group_name_H-M_alt 'P 63/m m c'
_space_group_IT_number 194
_space_group_name_Hall '-P 6c 2c'
loop_
_atom_site_label
_atom_site_type_symbol
_atom_site_fract_x
_atom_site_fract_y
_atom_site_fract_z
Ac1 Ac 0.3333 0.6667 0.2500
Ce1 Ce 0.0000 0.0000 0.0000
N1 N 0.3333 0.6667 0.6068
```

Computed properties:
* raw formation energy: -487 kJ/mol of formula units
* relative energy among the computed polymorphs: 0.04 eV per formula unit


Here is an optimized crystal structure of Ac2CeN3 from the Alexandria database. Energies are from PBE.

CIF file:
```
data_Ac2CeN3
_cell_length_a 12.534
_cell_length_b 7.150
_cell_length_c 6.232
_cell_angle_alpha 90.00
_cell_angle_beta 90.00
_cell_angle_gamma 90.00
_space_group_name_H-M_alt 'C m c 21'
_space_group_IT_number 36
loop_
_space_group_symop_operation_xyz
'x,y,z'
'-x,-y,z+1/2'
'-x,y,z'
'x,-y,z+1/2'
'x+1/2,y+1/2,z'
'-x+1/2,-y+1/2,z+1/2'
'-x+1/2,y+1/2,z'
'x+1/2,-y+1/2,z+1/2'
loop_
_atom_site_label
_atom_site_type_symbol
_atom_site_fract_x
_atom_site_fract_y
_atom_site_fract_z
Ac1 Ac 0.163 0.172 0.000
Ce1 Ce 0.000 0.335 0.499
N1 N 0.000 0.358 0.872
N2 N 0.158 0.177 0.415
```

Computed properties:
* raw formation energy: -675 kJ/mol of formula units
* relative energy among the computed polymorphs: 0.00 eV per formula unit


Question: Look up the raw formation energy of the first one.
Answer: -487 kJ/mol of formula units


Question: raw formation energy of number 1 (AcCeN2)?
Answer: -487 kJ/mol of formula units